{"formula": "Tb3Tm5Tl", "functional": "PBE", "state": "relaxed", "cell": [[7.959, -0.998, 1.607], [1.219, 7.928, 1.607], [4.572, 3.452, 11.558]], "species": ["Tm", "Tm", "Tm", "Tb", "Tl", "Tm", "Tm", "Tb", "Tb", "Tm", "Tb", "Tl", "Tb", "Tm", "Tm", "Tm", "Tb", "Tm"], "fractional_positions": [[0.729, 0.271, 0.000], [0.130, 0.648, 0.800], [0.345, 0.345, 0.407], [0.669, 0.669, 0.327], [0.039, 0.039, 0.727], [0.678, 0.678, 0.057], [0.271, 0.729, 0.000], [0.691, 0.691, 0.810], [0.000, 0.000, 0.000], [0.648, 0.130, 0.800], [0.309, 0.309, 0.190], [0.961, 0.961, 0.273], [0.000, 0.000, 0.500], [0.870, 0.352, 0.200], [0.655, 0.655, 0.593], [0.322, 0.322, 0.943], [0.331, 0.331, 0.673], [0.352, 0.870, 0.200]], "space_group": "No. 12"}

=====

{"formula": "Ac2In5Pt3", "functional": "PBE", "state": "relaxed", "cell": [[4.558, 0.000, -0.776], [0.000, 7.665, 0.000], [0.026, 0.000, 13.916]], "species": ["In", "In", "In", "In", "In", "In", "In", "In", "Ac", "Ac", "Pt", "In", "Ac", "Pt", "In", "Pt", "Ac", "Pt", "Pt", "Pt"], "fractional_positions": [[0.054, 0.614, 0.107], [0.946, 0.114, 0.893], [0.873, 0.747, 0.746], [0.294, 0.897, 0.587], [0.291, 0.502, 0.582], [0.599, 0.905, 0.198], [0.706, 0.397, 0.413], [0.127, 0.247, 0.254], [0.524, 0.282, 0.048], [0.476, 0.782, 0.952], [0.954, 0.492, 0.908], [0.709, 0.002, 0.418], [0.176, 0.704, 0.352], [0.230, 0.198, 0.460], [0.401, 0.405, 0.802], [0.046, 0.992, 0.092], [0.824, 0.204, 0.648], [0.390, 0.024, 0.779], [0.770, 0.698, 0.540], [0.610, 0.524, 0.221]], "e_above_lowest_polymorph_ev_per_atom": 0.000, "space_group": "No. 36"}

=====

| no. | uncorrected energy (eV per cell) | E_form (eV/atom) | D(E_F) (states/eV/cell) |
| --- | --- | --- | --- |
| 1 | -70.02 | 0.40 | 28.08 |
| 2 | -94.61 | -0.73 | 10.36 |